This record from the Alexandria database describes a relaxed structure of K2AgAu. The functional is PBE.

Structure (extended XYZ):
```
4
Lattice="4.851 0.000 0.000 0.000 4.725 0.021 0.000 2.331 6.067" Properties=species:S:1:pos:R:3 pbc="T T T"
K 0.000 6.765 5.545
K 2.425 2.054 2.045
Au 2.425 4.405 4.580
Ag 0.000 4.414 3.050
```

Calculated values
Energy relative to the lowest polymorph listed for this composition = 0.09 eV/f.u.
Size of the total moment = 0.00 μB per formula unit
VASP energy = -8.9 eV per cell
DFT formation energy = -0.1456 eV/atom
V = 34.7 Å³/atom

This record from the Alexandria database describes a relaxed structure of K2AgAu. The functional is PBE.

Structure (extended XYZ):
```
4
Lattice="-1.411 -5.071 3.689 4.335 -4.743 -0.164 -0.345 6.305 1.202" Properties=species:S:1:pos:R:3 pbc="T T T"
K 2.858 -9.593 3.446
K 2.776 -1.841 1.461
Au -0.263 -1.449 3.188
Ag 1.593 -5.348 1.921
```

Calculated values
Energy relative to the lowest polymorph listed for this composition = 0.28 eV/f.u.
Size of the total moment = 0.00 μB per formula unit
VASP energy = -8.7 eV per cell
DFT formation energy = -0.0976 eV/atom
V = 31.9 Å³/atom

This record from the Alexandria database describes a relaxed structure of KAg3Au2. The functional is PBE.

Structure (extended XYZ):
```
12
Lattice="5.559 0.000 0.000 0.000 7.050 -1.750 0.000 0.775 7.222" Properties=species:S:1:pos:R:3 pbc="T T T"
K 1.390 2.596 1.816
K 4.169 5.229 3.657
Ag 4.169 3.284 -0.388
Ag 4.169 0.762 3.218
Ag 1.390 4.541 5.861
Ag 4.169 0.503 0.352
Ag 1.390 7.322 5.121
Ag 1.390 7.063 2.255
Au 2.780 5.646 0.257
Au 0.000 5.646 0.257
Au 0.000 2.179 5.215
Au 2.780 2.179 5.215
```

Calculated values
Size of the total moment = 0.00 μB per formula unit
VASP energy = -33.4 eV per cell
DFT formation energy = -0.0856 eV/atom
V = 24.2 Å³/atom